No. 1
PPdSeN2 | Alexandria | PBE | relaxed; magnetic moment = 0.15 μB per atom; raw formation energy = 1.591 eV per atom; offset from the most stable computed form = 0.795 eV/atom; DOS at the Fermi energy = 3.64 states/eV/cell
1.0
-1.924 0.494 3.154
2.102 -2.576 1.686
5.206 5.740 2.277
P N Pd Se
1 2 1 1
direct
0.500 0.500 0.500
0.000 0.500 0.000
0.500 0.000 0.000
0.000 0.000 0.000
0.000 0.000 0.500



No. 2
SrCa2MgCd | Alexandria | PBE | relaxed; magnetic moment = 0.00 μB per atom; energy of formation from the pure elements = 2.2 kJ/mol of atoms; DOS at the Fermi energy = 4.47 states/eV/cell
1.0
6.000 0.000 0.000
0.000 6.000 0.000
0.000 0.000 5.457
Ca Cd Sr Mg
2 1 1 1
direct
0.000 0.500 0.000
0.500 0.000 0.000
0.000 0.000 0.000
0.500 0.500 0.500
0.000 0.000 0.500



No. 3
LiPd2S | Alexandria | PBE | relaxed; magnetic moment = 0.00 μB per atom; raw formation energy = -0.359 eV per atom; DOS at the Fermi energy = 0.99 states/eV/cell
1.0
3.188 0.000 0.000
0.000 4.194 0.000
0.000 0.000 4.194
Pd S Li
2 1 1
direct
0.000 0.500 0.000
0.000 0.000 0.500
0.500 0.500 0.500
0.500 0.000 0.000



No. 4
Tm4MgAg2 | Alexandria | PBE | relaxed; magnetic moment = 0.00 μB per atom; offset from the most stable computed form = 0.144 eV/atom; energy of formation from the pure elements = 4.4 kJ/mol of atoms; DOS at the Fermi energy = 6.54 states/eV/cell
1.0
5.041 0.000 0.000
2.520 4.366 0.000
2.520 1.455 8.824
Tm Ag Mg
4 2 1
direct
0.291 0.291 0.127
0.880 0.880 0.359
0.709 0.709 0.873
0.120 0.120 0.641
0.401 0.401 0.797
0.599 0.599 0.203
0.500 0.500 0.500



No. 5
Be2AlNi3 | Alexandria | PBE | relaxed; magnetic moment = 0.00 μB per atom; energy of formation from the pure elements = -49.1 kJ/mol of atoms; DOS at the Fermi energy = 2.71 states/eV/cell
1.0
2.640 0.000 0.000
0.000 2.640 0.000
0.000 0.000 8.599
Ni Be Al
3 2 1
direct
0.000 0.000 0.305
0.000 0.000 0.695
0.000 0.000 0.000
0.500 0.500 0.152
0.500 0.500 0.848
0.500 0.500 0.500



No. 6
Lu2CuPb | Alexandria | PBE | relaxed; magnetic moment = 0.00 μB per atom; energy of formation from the pure elements = -28.4 kJ/mol of atoms; DOS at the Fermi energy = 3.10 states/eV/cell
1.0
3.398 0.000 0.000
0.000 3.398 0.000
0.000 0.000 8.149
Cu Pb Lu
1 1 2
direct
0.500 0.500 0.000
0.500 0.500 0.500
0.000 0.000 0.208
0.000 0.000 0.792



No. 7
Cu2HBr2 | Alexandria | PBE | relaxed; magnetic moment = 0.08 μB per atom; DOS at the Fermi energy = 7.17 states/eV/cell; total DFT energy (no corrections) = -15.58 eV per formula unit
1.0
1.858 9.689 2.970
-1.858 9.689 2.970
0.000 2.817 6.928
H Cu Br
2 4 4
direct
0.270 0.270 0.375
0.730 0.730 0.625
0.433 0.433 0.710
0.227 0.227 0.640
0.773 0.773 0.360
0.567 0.567 0.290
0.428 0.428 0.394
0.841 0.841 0.965
0.159 0.159 0.035
0.572 0.572 0.606



No. 8
CsTl2Ag2 | Alexandria | PBE | relaxed; magnetic moment = 0.00 μB per atom; offset from the most stable computed form = 0.112 eV/atom; energy of formation from the pure elements = 11.7 kJ/mol of atoms; DOS at the Fermi energy = 4.96 states/eV/cell
1.0
9.249 0.000 0.000
0.000 9.249 0.000
0.000 0.000 3.502
Ag Tl Cs
4 4 2
direct
0.662 0.838 0.500
0.162 0.662 0.500
0.838 0.338 0.500
0.338 0.162 0.500
0.128 0.372 0.000
0.872 0.628 0.000
0.372 0.872 0.000
0.628 0.128 0.000
0.000 0.000 0.000
0.500 0.500 0.000



No. 9
MgIn3Pd | Alexandria | PBE | relaxed; magnetic moment = 0.00 μB per atom; offset from the most stable computed form = 0.000 eV/atom; energy of formation from the pure elements = -27.9 kJ/mol of atoms; DOS at the Fermi energy = 8.13 states/eV/cell
1.0
-1.158 -5.661 -0.727
7.710 -1.825 1.930
-4.866 -0.055 8.182
In Pd Mg
12 4 4
direct
0.754 0.621 0.155
0.004 0.005 0.331
0.993 0.192 0.049
0.504 0.995 0.169
0.746 0.621 0.655
0.996 0.995 0.669
0.246 0.379 0.845
0.496 0.005 0.831
0.007 0.808 0.951
0.507 0.192 0.549
0.254 0.379 0.345
0.493 0.808 0.451
0.495 0.696 0.921
0.505 0.304 0.079
0.005 0.696 0.421
0.995 0.304 0.579
0.252 0.627 0.157
0.752 0.373 0.343
0.248 0.627 0.657
0.748 0.373 0.843



No. 10
BaCrFe2Rh | Alexandria | PBE | relaxed; magnetic moment = 0.13 μB per atom; offset from the most stable computed form = 2.185 eV/atom; energy of formation from the pure elements = 284.5 kJ/mol of atoms; DOS at the Fermi energy = 19.18 states/eV/cell
1.0
-2.746 -1.133 3.581
0.648 -4.804 -1.023
3.706 -0.099 2.811
Fe Rh Ba Cr
2 1 1 1
direct
0.500 0.000 0.000
0.000 0.000 0.500
0.000 0.500 0.000
0.000 0.000 0.000
0.500 0.500 0.500



No. 11
GdAs6 | Alexandria | PBE | relaxed; magnetic moment = 1.04 μB per atom; energy of formation from the pure elements = 30.7 kJ/mol of atoms; DOS at the Fermi energy = 10.80 states/eV/cell
1.0
-2.181 1.892 5.639
-4.058 -4.141 -2.553
5.652 -2.764 0.741
As Gd
6 1
direct
0.250 0.750 0.500
0.500 0.250 0.750
0.750 0.250 0.500
0.750 0.500 0.250
0.500 0.750 0.250
0.250 0.500 0.750
0.000 0.000 0.000



No. 12
La3Y4Tm | Alexandria | PBE | relaxed; magnetic moment = 0.00 μB per atom; offset from the most stable computed form = 0.109 eV/atom; energy of formation from the pure elements = 13.0 kJ/mol of atoms; DOS at the Fermi energy = 13.50 states/eV/cell
1.0
-0.891 1.324 -3.135
-8.192 -3.625 -1.177
-4.903 7.182 2.453
Tm Y La
1 4 3
direct
0.500 0.000 0.000
0.366 0.379 0.889
0.634 0.111 0.621
0.366 0.889 0.379
0.634 0.621 0.111
0.000 0.500 0.500
0.244 0.756 0.756
0.756 0.244 0.244